# Ni2SnGeO6, optimized geometry, DFT PBE+U
# E_tot   -53.58 eV/cell
data_Ni2SnGeO6
_space_group_name_H-M_alt 'P 4 m m'
_space_group_IT_number 99
_space_group_name_Hall 'P 4 -2'
_cell_length_a 5.1612
_cell_length_b 5.1612
_cell_length_c 4.8676
_cell_angle_alpha 90.00
_cell_angle_beta 90.00
_cell_angle_gamma 90.00
loop_
_atom_site_label
_atom_site_fract_x
_atom_site_fract_y
_atom_site_fract_z
Ni1 0.0000 0.5000 0.0000
Sn1 0.0000 0.0000 0.6215
Ge1 0.5000 0.5000 0.6510
O1 0.0000 0.0000 0.2269
O2 0.2576 0.2576 0.8042
O3 0.5000 0.5000 0.2995